Here is TaW2O8 after structural relaxation from the Alexandria database. Energies are from GGA+U.

a b c (Å): 5.0621 5.2977 7.2028
angles (deg): 109.09 92.24 104.44
Closest atoms and distances in Å follow each position.
Space group P1 (No. 1)
One atom of each set of equivalent atoms:
Ta: 0.0000 0.0000 0.0000 (multiplicity 1)  5 O 1.88-2.10
W: 0.2473 0.4535 0.8076 (multiplicity 1)  3 O 1.73-1.91
W: 0.7256 0.5489 0.1768 (multiplicity 1)  1 O 1.72
O: 0.1000 0.7556 0.1282 (multiplicity 1)  1 Ta 1.96, 1 W 2.04
O: 0.1128 0.7193 0.7547 (multiplicity 1)  1 W 1.84
O: 0.3460 0.2799 0.5859 (multiplicity 1)  1 W 1.73
O: 0.3670 0.2664 0.0157 (multiplicity 1)  1 Ta 2.01, 2 W 2.06-2.19
O: 0.6172 0.7061 0.9590 (multiplicity 1)  2 W 2.03-2.11, 1 Ta 2.10
O: 0.6549 0.7275 0.4071 (multiplicity 1)  1 W 1.72
O: 0.8797 0.2501 0.2073 (multiplicity 1)  1 Ta 1.88, 1 W 2.00
O: 0.9120 0.1955 0.8170 (multiplicity 1)  1 W 1.91, 1 Ta 2.02

Properties
As for the calculated volume: 175.22 Å³ per cell. The calculation puts the total energy at -88.776 eV for the cell shown. For the density of states at the Fermi level, the calculation gives 0.00 states/eV per cell.